# Pm4Sb3Pb

Pm4Sb3Pb after structural relaxation (PBE-GGA, the Alexandria database).

Cell: 4.462 7.827 7.827 Å, 108.93 90.00 90.00°
Positions (direct):
Sb (0.500, 0.500, 0.500)
Sb (0.000, 0.000, 0.500)
Pm (0.500, 0.748, 0.252)
Pm (0.000, 0.255, 0.255)
Pb (0.500, 0.000, 0.000)
Pm (0.500, 0.252, 0.748)
Pm (0.000, 0.745, 0.745)
Sb (0.000, 0.500, 0.000)

Calculated values
The calculation puts the energy relative to the elements, uncorrected at -0.98 eV per atom. The volume comes out at 32.32 A^3/atom. Its energy is -5.37 eV/atom. Its total magnetic moment is 0.00 μB/f.u.